Material: GePIrN2
Method: DFT, PBE-GGA
State: relaxed

Its raw formation energy is -0.0792 eV/atom. The calculated density is 7.68 g cm⁻³. The value obtained for the size of the total moment is 0.00 μB per cell. As for the raw total energy: -7.1870 eV per atom. The energy above the lowest structure with this stoichiometry comes out at 0.61 eV per formula unit.

a b c (Å): 3.6191 4.6603 4.7984
angles (deg): 104.48 100.15 110.85
Atoms (fractional coordinates):
1 Ge 0.0000 0.0000 0.0000
2 P 0.1940 0.6483 0.3924
3 Ir 0.5184 0.1404 0.7292
4 N 0.2222 0.3159 0.4056
5 N 0.8969 0.6006 0.0696


Material: GePIrN
Method: DFT, PBE-GGA
State: relaxed

Its raw formation energy is 0.0317 eV/atom. The calculated density is 8.79 g cm⁻³. The value obtained for the size of the total moment is 0.00 μB per cell. As for the raw total energy: -6.7717 eV per atom. The energy above the lowest structure with this stoichiometry comes out at 0.81 eV per formula unit.

a b c (Å): 7.7948 2.7977 6.2171
angles (deg): 90.00 120.32 90.00
Atoms (fractional coordinates):
1 Ge 0.0000 0.0000 0.0000
2 Ge 0.5000 0.5000 0.0000
3 P 0.2710 0.0000 0.4448
4 P 0.7710 0.5000 0.4448
5 Ir 0.2005 0.0000 0.7652
6 Ir 0.7005 0.5000 0.7652
7 N 0.3999 0.5000 0.4539
8 N 0.8999 0.0000 0.4539


Material: GePIrN
Method: DFT, PBE-GGA
State: relaxed

Its raw formation energy is 0.1635 eV/atom. The calculated density is 8.92 g cm⁻³. The value obtained for the size of the total moment is 0.00 μB per cell. As for the raw total energy: -6.6399 eV per atom. The energy above the lowest structure with this stoichiometry comes out at 1.33 eV per formula unit.

a b c (Å): 3.0297 4.2349 5.0520
angles (deg): 106.57 90.14 110.86
Atoms (fractional coordinates):
1 Ge 0.0000 0.0000 0.0000
2 P 0.2062 0.4104 0.6047
3 Ir 0.7593 0.5205 0.2864
4 N 0.0049 0.0071 0.6168


Material: GePIrN
Method: DFT, PBE-GGA
State: relaxed

Its raw formation energy is 0.0608 eV/atom. The calculated density is 9.32 g cm⁻³. The value obtained for the size of the total moment is 0.00 μB per cell. As for the raw total energy: -6.7426 eV per atom. The energy above the lowest structure with this stoichiometry comes out at 0.92 eV per formula unit.

a b c (Å): 3.1081 3.1081 6.6000
angles (deg): 90.00 90.00 120.00
Atoms (fractional coordinates):
1 Ge 0.0000 0.0000 0.0000
2 P 0.6667 0.3333 0.3250
3 Ir 0.3333 0.6667 0.5443
4 N 0.3333 0.6667 0.8704


Material: GePIrN2
Method: DFT, PBE-GGA
State: relaxed

Its raw formation energy is 0.2952 eV/atom. The calculated density is 7.38 g cm⁻³. The value obtained for the size of the total moment is 0.00 μB per cell. As for the raw total energy: -6.8126 eV per atom. The energy above the lowest structure with this stoichiometry comes out at 2.48 eV per formula unit.

a b c (Å): 3.9949 2.7361 6.7400
angles (deg): 90.00 98.62 90.00
Atoms (fractional coordinates):
1 Ge 0.0000 0.0000 0.0000
2 P 0.8210 0.5000 0.4331
3 Ir 0.5866 0.5000 0.7130
4 N 0.0927 0.5000 0.6399
5 N 0.8241 0.0000 0.2876


Material: GePIrN
Method: DFT, PBE-GGA
State: relaxed

Its raw formation energy is -0.0135 eV/atom. The calculated density is 8.12 g cm⁻³. The value obtained for the size of the total moment is 0.00 μB per cell. As for the raw total energy: -6.8169 eV per atom. The energy above the lowest structure with this stoichiometry comes out at 0.63 eV per formula unit.

a b c (Å): 3.6274 2.7834 6.5183
angles (deg): 90.00 105.65 90.00
Atoms (fractional coordinates):
1 Ge 0.0000 0.0000 0.0000
2 P 0.7591 0.5000 0.5184
3 Ir 0.5801 0.5000 0.1658
4 N 0.8415 0.0000 0.6784


Material: GePIrN2
Method: DFT, PBE-GGA
State: relaxed

Its raw formation energy is 0.1315 eV/atom. The calculated density is 8.56 g cm⁻³. The value obtained for the size of the total moment is 0.00 μB per cell. As for the raw total energy: -6.9763 eV per atom. The energy above the lowest structure with this stoichiometry comes out at 1.66 eV per formula unit.

a b c (Å): 9.9057 2.6907 5.3962
angles (deg): 90.00 119.13 90.00
Atoms (fractional coordinates):
1 Ge 0.0000 0.0000 0.0000
2 Ge 0.5000 0.5000 0.0000
3 P 0.3259 0.5000 0.3550
4 P 0.8259 0.0000 0.3550
5 Ir 0.0874 0.0000 0.5378
6 Ir 0.5874 0.5000 0.5378
7 N 0.2402 0.0000 0.1472
8 N 0.2566 0.5000 0.6007
9 N 0.7402 0.5000 0.1472
10 N 0.7566 0.0000 0.6007


Material: GePIrN2
Method: DFT, PBE-GGA
State: relaxed

Its raw formation energy is -0.0066 eV/atom. The calculated density is 7.78 g cm⁻³. The value obtained for the size of the total moment is 0.00 μB per cell. As for the raw total energy: -7.1143 eV per atom. The energy above the lowest structure with this stoichiometry comes out at 0.97 eV per formula unit.

a b c (Å): 3.5356 6.5415 5.9804
angles (deg): 90.00 90.00 90.00
Atoms (fractional coordinates):
1 Ge 0.0000 0.0000 0.0000
2 Ge 0.5000 0.5000 0.5000
3 P 0.0000 0.0000 0.4319
4 P 0.5000 0.5000 0.9319
5 Ir 0.0000 0.5000 0.2187
6 Ir 0.5000 0.0000 0.7187
7 N 0.0000 0.1878 0.2406
8 N 0.0000 0.8122 0.2406
9 N 0.5000 0.3122 0.7406
10 N 0.5000 0.6878 0.7406


Material: GePIrN2
Method: DFT, PBE-GGA
State: relaxed

Its raw formation energy is 0.0304 eV/atom. The calculated density is 9.45 g cm⁻³. The value obtained for the size of the total moment is 0.00 μB per cell. As for the raw total energy: -7.0774 eV per atom. The energy above the lowest structure with this stoichiometry comes out at 1.16 eV per formula unit.

a b c (Å): 10.6104 2.7828 4.1662
angles (deg): 90.00 112.26 90.00
Atoms (fractional coordinates):
1 Ge 0.0000 0.0000 0.0000
2 Ge 0.5000 0.5000 0.0000
3 P 0.1939 0.5000 0.6714
4 P 0.6939 0.0000 0.6714
5 Ir 0.3417 0.0000 0.5065
6 Ir 0.8417 0.5000 0.5065
7 N 0.0348 0.5000 0.3489
8 N 0.1756 0.0000 0.9368
9 N 0.5348 0.0000 0.3489
10 N 0.6756 0.5000 0.9368


Material: GePIrN
Method: DFT, PBE-GGA
State: relaxed

Its raw formation energy is 0.1085 eV/atom. The calculated density is 8.60 g cm⁻³. The value obtained for the size of the total moment is 0.00 μB per cell. As for the raw total energy: -6.6949 eV per atom. The energy above the lowest structure with this stoichiometry comes out at 1.11 eV per formula unit.

a b c (Å): 7.0101 3.0398 6.5170
angles (deg): 90.00 120.56 90.00
Atoms (fractional coordinates):
1 Ge 0.0000 0.0000 0.0000
2 Ge 0.5000 0.5000 0.0000
3 P 0.2525 0.5000 0.5624
4 P 0.7525 0.0000 0.5624
5 Ir 0.4709 0.5000 0.3764
6 Ir 0.9709 0.0000 0.3764
7 N 0.1733 0.5000 0.0299
8 N 0.6733 0.0000 0.0299


Material: GePIrN2
Method: DFT, PBE-GGA
State: relaxed

Its raw formation energy is 0.2965 eV/atom. The calculated density is 7.67 g cm⁻³. The value obtained for the size of the total moment is 0.00 μB per cell. As for the raw total energy: -6.8113 eV per atom. The energy above the lowest structure with this stoichiometry comes out at 2.49 eV per formula unit.

a b c (Å): 2.9287 4.7272 5.4171
angles (deg): 82.19 79.06 72.89
Atoms (fractional coordinates):
1 Ge 0.0000 0.0000 0.0000
2 P 0.1250 0.3793 0.4592
3 Ir 0.2913 0.4486 0.0513
4 N 0.5276 0.4265 0.6490
5 N 0.9152 0.1053 0.6220


Material: GePIrN2
Method: DFT, PBE-GGA
State: relaxed

Its raw formation energy is 0.0974 eV/atom. The calculated density is 8.06 g cm⁻³. The value obtained for the size of the total moment is 0.00 μB per cell. As for the raw total energy: -7.0104 eV per atom. The energy above the lowest structure with this stoichiometry comes out at 1.49 eV per formula unit.

a b c (Å): 9.9701 2.7440 6.1084
angles (deg): 90.00 127.02 90.00
Atoms (fractional coordinates):
1 Ge 0.0000 0.0000 0.0000
2 Ge 0.5000 0.5000 0.0000
3 P 0.4270 0.0000 0.3686
4 P 0.9270 0.5000 0.3686
5 Ir 0.2817 0.0000 0.5537
6 Ir 0.7817 0.5000 0.5537
7 N 0.1403 0.5000 0.5763
8 N 0.3734 0.5000 0.1679
9 N 0.6403 0.0000 0.5763
10 N 0.8734 0.0000 0.1679